No. 1
This record from Alexandria describes crystalline HfMo3 at its relaxed geometry. The functional is PBE.

Geometry as POSCAR:
```
HfMo3
1.0
4.6309 -2.6745 0.0000
4.6309 2.6745 0.0000
-3.0970 0.0000 8.7520
Hf Mo
3 9
direct
0.0000 0.0000 0.0000
0.1456 0.1456 0.4366
0.8544 0.8544 0.5634
0.0810 0.5868 0.2551
0.3328 0.3328 0.9985
0.4131 0.4131 0.7446
0.4132 0.9190 0.7449
0.5000 0.5000 0.5000
0.5868 0.0810 0.2551
0.5869 0.5869 0.2554
0.6672 0.6672 0.0015
0.9190 0.4132 0.7449
```

- ΔE_f (meV/atom) = 32
- calculated density (kg/m³) = 10715
- E (eV/atom) = -10.579
- symmetry = C2/m

No. 2
This record from Alexandria describes crystalline HfMo4 at its relaxed geometry. The functional is PBE.

Geometry as POSCAR:
```
HfMo4
1.0
2.8767 0.0000 0.0000
0.0034 4.4742 0.0000
0.9314 2.2296 6.5032
Hf Mo
1 4
direct
0.0000 0.0000 0.0000
0.2101 0.7984 0.4032
0.4180 0.6056 0.7887
0.5820 0.3944 0.2113
0.7899 0.2016 0.5968
```

- ΔE_f (meV/atom) = -34
- calculated density (kg/m³) = 11154
- E (eV/atom) = -10.690
- offset from the most stable computed form (meV/atom) = 0.0
- symmetry = P-1

No. 3
This record from Alexandria describes crystalline Hf4Mo at its relaxed geometry. The functional is PBE.

Geometry as POSCAR:
```
Hf4Mo
1.0
0.0000 4.9239 4.9239
4.9239 0.0000 4.9239
4.9239 4.9239 0.0000
Hf Mo
8 2
direct
0.1929 0.7690 0.7690
0.2310 0.2310 0.2310
0.2310 0.2310 0.8071
0.2310 0.8071 0.2310
0.7690 0.1929 0.7690
0.7690 0.7690 0.1929
0.7690 0.7690 0.7690
0.8071 0.2310 0.2310
0.3750 0.3750 0.3750
0.6250 0.6250 0.6250
```

- ΔE_f (meV/atom) = 983
- calculated density (kg/m³) = 11265
- E (eV/atom) = -9.146
- offset from the most stable computed form (meV/atom) = 192.8
- symmetry = Fd-3m

No. 4
This record from Alexandria describes crystalline HfMo3 at its relaxed geometry. The functional is PBE.

Geometry as POSCAR:
```
HfMo3
1.0
2.6427 0.0000 0.0000
0.0000 4.6786 0.0000
0.0000 0.0000 5.5906
Hf Mo
1 3
direct
0.0000 0.0000 0.0000
0.0000 0.5000 0.7161
0.5000 0.0000 0.4988
0.5000 0.5000 0.2298
```

- ΔE_f (meV/atom) = 337
- calculated density (kg/m³) = 11202
- E (eV/atom) = -10.274
- symmetry = Pmm2

No. 5
This record from Alexandria describes crystalline HfMo2 at its relaxed geometry. The functional is PBE.

Geometry as POSCAR:
```
HfMo2
1.0
-1.6125 1.6125 5.0279
1.6125 -1.6125 5.0279
1.6125 1.6125 -5.0279
Hf Mo
1 2
direct
0.0000 0.0000 0.0000
0.3214 0.3214 0.0000
0.6786 0.6786 0.0000
```

- ΔE_f (meV/atom) = -150
- calculated density (kg/m³) = 11761
- E (eV/atom) = -10.688
- offset from the most stable computed form (meV/atom) = 32.8
- symmetry = I4/mmm

No. 6
This record from Alexandria describes crystalline HfMo4 at its relaxed geometry. The functional is PBE.

Geometry as POSCAR:
```
HfMo4
1.0
0.0000 2.3199 11.2749
1.5995 0.0000 11.2749
1.5995 2.3199 0.0000
Hf Mo
1 4
direct
0.0000 0.0000 0.0000
0.2015 0.2015 0.7985
0.3944 0.3944 0.6056
0.6056 0.6056 0.3944
0.7985 0.7985 0.2015
```

- ΔE_f (meV/atom) = 18
- calculated density (kg/m³) = 11158
- E (eV/atom) = -10.637
- offset from the most stable computed form (meV/atom) = 52.5
- symmetry = Fmmm

No. 7
This record from Alexandria describes crystalline Hf2MoN at its relaxed geometry. The functional is PBE.

Geometry as POSCAR:
```
Hf2MoN
1.0
-3.1250 3.1250 3.7323
3.1250 -3.1250 3.7323
3.1250 3.1250 -3.7323
Hf Mo N
4 2 2
direct
0.0336 0.1250 0.4086
0.3750 0.9664 0.0914
0.7164 0.6250 0.5914
0.8750 0.2836 0.9086
0.2500 0.7500 0.5000
0.5000 0.5000 0.0000
0.0000 0.0000 0.0000
0.7500 0.2500 0.5000
```

- formation energy without anion corrections (eV per atom) = -0.1081
- calculated density (kg/m³) = 10636
- E (eV/atom) = -9.874
- symmetry = I-42d

No. 8
This record from Alexandria describes crystalline Hf3MoN at its relaxed geometry. The functional is PBE.

Geometry as POSCAR:
```
Hf3MoN
1.0
4.4106 0.0000 0.0000
0.0000 4.4106 0.0000
0.0000 0.0000 4.4106
Hf Mo N
3 1 1
direct
0.0000 0.0000 0.5000
0.0000 0.5000 0.0000
0.5000 0.0000 0.0000
0.5000 0.5000 0.5000
0.0000 0.0000 0.0000
```

- formation energy without anion corrections (eV per atom) = -0.6689
- calculated density (kg/m³) = 12491
- E (eV/atom) = -10.472
- offset from the most stable computed form (meV/atom) = 31.0
- symmetry = Pm-3m

No. 9
This record from Alexandria describes crystalline HfMo2N at its relaxed geometry. The functional is PBE.

Geometry as POSCAR:
```
HfMo2N
1.0
1.4737 0.8508 8.1109
-1.4737 0.8508 8.1109
0.0000 -1.7016 8.1109
Hf Mo N
1 2 1
direct
0.0000 0.0000 0.0000
0.1130 0.1130 0.1130
0.8870 0.8870 0.8870
0.5000 0.5000 0.5000
```

- formation energy without anion corrections (eV per atom) = 0.2631
- calculated density (kg/m³) = 10460
- E (eV/atom) = -9.722
- symmetry = R-3m

No. 10
This record from Alexandria describes crystalline HfMo3N at its relaxed geometry. The functional is PBE.

Geometry as POSCAR:
```
HfMo3N
1.0
4.2089 0.0000 0.0000
0.0000 4.2089 0.0000
0.0000 0.0000 4.2089
Hf Mo N
1 3 1
direct
0.0000 0.0000 0.0000
0.0000 0.5000 0.5000
0.5000 0.0000 0.5000
0.5000 0.5000 0.0000
0.5000 0.5000 0.5000
```

- formation energy without anion corrections (eV per atom) = -0.2020
- calculated density (kg/m³) = 10697
- E (eV/atom) = -10.356
- offset from the most stable computed form (meV/atom) = 0.0
- symmetry = Pm-3m

No. 11
This record from Alexandria describes crystalline HfMoN at its relaxed geometry. The functional is PBE.

Geometry as POSCAR:
```
HfMoN
1.0
-2.1997 2.1997 4.2768
2.1997 -2.1997 4.2768
2.1997 2.1997 -4.2768
Hf Mo N
2 2 2
direct
0.0000 0.0000 0.0000
0.7500 0.2500 0.5000
0.2478 0.7478 0.5000
0.4978 0.4978 0.0000
0.0027 0.5027 0.5000
0.2527 0.2527 0.0000
```

- formation energy without anion corrections (eV per atom) = -0.7573
- calculated density (kg/m³) = 11573
- E (eV/atom) = -10.461
- symmetry = I4_1md

No. 12
This record from Alexandria describes crystalline Hf3MoN at its relaxed geometry. The functional is PBE.

Geometry as POSCAR:
```
Hf3MoN
1.0
4.9613 0.0000 0.0000
0.0000 4.9613 0.0000
0.0000 0.0000 4.9613
Hf Mo N
3 1 1
direct
0.0000 0.0000 0.5000
0.0000 0.5000 0.0000
0.5000 0.0000 0.0000
0.0000 0.0000 0.0000
0.5000 0.5000 0.5000
```

- formation energy without anion corrections (eV per atom) = 1.7657
- calculated density (kg/m³) = 8776
- E (eV/atom) = -8.038
- offset from the most stable computed form (meV/atom) = 2465.6
- symmetry = Pm-3m